(1)
{
  "formula": "Na2PrYO4",
  "functional": "GGA-PBE",
  "state": "relaxed",
  "lattice": [[3.530, 0.000, 0.000], [0.000, 6.118, 0.106], [0.000, -2.137, 5.590]],
  "species": ["Pr", "O", "O", "Y", "O", "Na", "Na", "O"],
  "frac_coords": [[0.500, 0.500, 0.000], [0.500, 0.228, 0.213], [0.500, 0.772, 0.787], [0.000, 0.000, 0.000], [0.000, 0.250, 0.784], [0.500, 0.000, 0.500], [0.000, 0.500, 0.500], [0.000, 0.750, 0.216]],
  "formation_energy_uncorrected_ev_per_atom": -2.660,
  "total_magnetization_mub_per_cell": 0.0,
  "total_energy_ev_per_atom": -6.875
}

=====

(2)
{
  "formula": "Na3Pt12O16",
  "functional": "GGA-PBE",
  "state": "relaxed",
  "lattice": [[8.129, 0.000, 0.000], [4.065, 7.040, 0.000], [4.065, 2.347, 6.638]],
  "species": ["O", "O", "Na", "O", "O", "Pt", "Pt", "Na", "O", "O", "Pt", "O", "O", "Pt", "O", "Pt", "O", "Pt", "Pt", "O", "O", "Pt", "Na", "O", "Pt", "O", "Pt", "O", "O", "Pt", "Pt"],
  "frac_coords": [[0.376, 0.376, 0.376], [0.130, 0.130, 0.130], [0.250, 0.250, 0.250], [0.376, 0.872, 0.376], [0.376, 0.376, 0.872], [0.372, 0.125, 0.875], [0.628, 0.125, 0.372], [0.750, 0.750, 0.750], [0.130, 0.610, 0.130], [0.870, 0.870, 0.390], [0.125, 0.875, 0.372], [0.624, 0.624, 0.624], [0.390, 0.870, 0.870], [0.372, 0.875, 0.628], [0.130, 0.130, 0.610], [0.372, 0.628, 0.125], [0.870, 0.390, 0.870], [0.875, 0.628, 0.372], [0.125, 0.628, 0.875], [0.872, 0.376, 0.376], [0.610, 0.130, 0.130], [0.875, 0.372, 0.125], [0.500, 0.500, 0.500], [0.128, 0.624, 0.624], [0.628, 0.372, 0.875], [0.624, 0.624, 0.128], [0.125, 0.372, 0.628], [0.624, 0.128, 0.624], [0.870, 0.870, 0.870], [0.628, 0.875, 0.125], [0.875, 0.125, 0.628]],
  "formation_energy_uncorrected_ev_per_atom": -0.671,
  "total_magnetization_mub_per_cell": 0.0,
  "total_energy_ev_per_atom": -5.697
}

=====

(3)
{
  "formula": "NaPt4O8",
  "functional": "GGA-PBE",
  "state": "relaxed",
  "lattice": [[-5.479, 1.384, 2.952], [-1.120, -2.249, 5.859], [0.136, 4.272, 5.135]],
  "species": ["O", "O", "O", "Na", "Pt", "O", "O", "Pt", "Pt", "O", "O", "Pt", "O"],
  "frac_coords": [[0.724, 0.724, 0.829], [0.770, 0.770, 0.176], [0.770, 0.284, 0.176], [0.500, 0.500, 0.500], [0.000, 0.500, 0.000], [0.284, 0.770, 0.176], [0.230, 0.230, 0.824], [0.000, 0.000, 0.000], [0.500, 0.500, 0.000], [0.276, 0.276, 0.171], [0.716, 0.230, 0.824], [0.500, 0.000, 0.000], [0.230, 0.716, 0.824]],
  "formation_energy_uncorrected_ev_per_atom": -0.575,
  "relative_energy_ev_per_atom": 0.000,
  "total_magnetization_mub_per_cell": 1.0,
  "total_energy_ev_per_atom": -5.586
}

=====

(4)
{
  "formula": "Na2PtO3",
  "functional": "GGA-PBE",
  "state": "relaxed",
  "lattice": [[-1.592, 2.237, 4.953], [1.592, -2.237, 4.953], [1.592, 2.237, -4.953]],
  "species": ["Na", "O", "Pt", "O", "O", "Na"],
  "frac_coords": [[0.330, 0.330, 0.000], [0.500, 0.000, 0.500], [0.000, 0.000, 0.000], [0.132, 0.632, 0.500], [0.868, 0.368, 0.500], [0.670, 0.670, 0.000]],
  "formation_energy_uncorrected_ev_per_atom": -1.009,
  "total_magnetization_mub_per_cell": 0.3,
  "total_energy_ev_per_atom": -4.934
}

=====

(5)
{
  "formula": "Na2PtO3",
  "functional": "GGA-PBE",
  "state": "relaxed",
  "lattice": [[-1.048, 2.734, -4.651], [2.300, -4.987, -0.203], [-5.134, -2.358, -0.230]],
  "species": ["O", "O", "O", "Na", "O", "O", "Na", "O", "Pt", "Pt", "Na", "Na"],
  "frac_coords": [[0.000, 0.276, 0.750], [0.000, 0.724, 0.250], [0.276, 0.000, 0.750], [0.667, 0.333, 0.500], [0.724, 0.000, 0.250], [0.276, 0.276, 0.250], [0.333, 0.667, 0.500], [0.724, 0.724, 0.750], [0.000, 0.000, 0.500], [0.000, 0.000, 0.000], [0.667, 0.333, 0.000], [0.333, 0.667, 0.000]],
  "formation_energy_uncorrected_ev_per_atom": -1.109,
  "total_magnetization_mub_per_cell": 0.0,
  "total_energy_ev_per_atom": -5.034
}

=====

(6)
{
  "formula": "NaPtO2",
  "functional": "GGA-PBE",
  "state": "relaxed",
  "lattice": [[-1.421, 0.938, 2.890], [0.846, -1.533, 2.860], [3.690, 3.353, 2.672]],
  "species": ["O", "O", "Pt", "Na"],
  "frac_coords": [[0.063, 0.063, 0.810], [0.276, 0.276, 0.173], [0.669, 0.669, 0.992], [0.492, 0.492, 0.525]],
  "formation_energy_uncorrected_ev_per_atom": -0.683,
  "total_magnetization_mub_per_cell": 0.7,
  "total_energy_ev_per_atom": -5.002
}

=====

(7)
{
  "formula": "Na2PtO3",
  "functional": "GGA-PBE",
  "state": "relaxed",
  "lattice": [[4.749, 2.879, 0.003], [-4.749, 2.879, 0.003], [0.000, 1.989, 5.097]],
  "species": ["Na", "O", "Na", "Na", "O", "O", "Pt", "O", "O", "Na", "O", "Pt"],
  "frac_coords": [[0.085, 0.915, 0.250], [0.233, 0.372, 0.003], [0.761, 0.239, 0.250], [0.239, 0.761, 0.750], [0.000, 0.500, 0.500], [0.628, 0.767, 0.497], [0.585, 0.415, 0.750], [0.767, 0.628, 0.997], [0.500, 0.000, 0.000], [0.915, 0.085, 0.750], [0.372, 0.233, 0.503], [0.415, 0.585, 0.250]],
  "formation_energy_uncorrected_ev_per_atom": -1.011,
  "total_magnetization_mub_per_cell": 0.0,
  "total_energy_ev_per_atom": -4.936
}

=====

(8)
{
  "formula": "Na5PtO5",
  "functional": "GGA-PBE",
  "state": "relaxed",
  "lattice": [[4.557, 0.000, 0.000], [-2.278, 5.047, -1.701], [0.000, 0.013, 6.419]],
  "species": ["Na", "Na", "O", "Na", "Na", "Pt", "Na", "O", "O", "O", "O"],
  "frac_coords": [[0.000, 0.000, 0.500], [0.675, 0.350, 0.857], [0.854, 0.708, 0.704], [0.310, 0.620, 0.683], [0.690, 0.380, 0.317], [0.000, 0.000, 0.000], [0.325, 0.650, 0.143], [0.135, 0.270, 0.844], [0.865, 0.730, 0.156], [0.146, 0.292, 0.296], [0.500, 0.000, 0.000]],
  "formation_energy_uncorrected_ev_per_atom": -1.107,
  "total_magnetization_mub_per_cell": 1.5,
  "total_energy_ev_per_atom": -4.510
}